# V2GaO5

Crystalline V2GaO5 at its relaxed geometry (PBE+U, the Alexandria database).

ΔE to the lowest computed polymorph ... 0 meV per atom
Total moment ... 6.0 μB per cell
Electronic total energy ... -7.240 eV per atom
Density ... 4.167 g/cm³

Cell lengths 5.570, 5.570, 7.593 Å; angles 67.87, 67.87, 88.07 degrees
Sites, in units of the cell vectors:
V (0.500, 0.000, 0.000)
V (0.500, 0.500, 0.000)
V (0.500, 0.500, 0.500)
V (0.000, 0.500, 0.500)
Ga (0.875, 0.125, 0.250)
Ga (0.125, 0.875, 0.750)
O (0.615, 0.385, 0.750)
O (0.385, 0.615, 0.250)
O (0.312, 0.776, 0.915)
O (0.797, 0.775, 0.399)
O (0.776, 0.312, 0.415)
O (0.225, 0.203, 0.101)
O (0.775, 0.797, 0.899)
O (0.203, 0.225, 0.601)
O (0.224, 0.688, 0.585)
O (0.688, 0.224, 0.085)